A geometry-optimized ZrTlReMo2 structure, computed with GGA-PBEsol.

Cell: 4.824 4.824 5.019 Å, 90.00 90.00 90.00°
Atoms (fractional coordinates):
Zr: 0.000 0.000 0.000
Tl: 0.000 0.000 0.500
Re: 0.500 0.500 0.000
Mo: 0.000 0.500 0.500
Mo: 0.500 0.000 0.500

* calculated total energy: -6.854 eV per atom
* energy of formation from the pure elements: 2.8636 eV/atom
* V: 116.8 Å³ per cell
* magnetic moment: 1.3 μB/f.u.

A geometry-optimized V2ReMo structure, computed with GGA-PBEsol.

Cell: 4.271 4.271 4.271 Å, 60.00 60.00 60.00°
Atoms (fractional coordinates):
V: 0.250 0.250 0.250
V: 0.750 0.750 0.750
Re: 0.000 0.000 0.000
Mo: 0.500 0.500 0.500

* calculated total energy: -11.375 eV per atom
* energy of formation from the pure elements: -0.2824 eV/atom
* V: 55.1 Å³ per cell
* magnetic moment: 0.0 μB/f.u.

A geometry-optimized ReMo2W structure, computed with GGA-PBEsol.

Cell: 5.175 5.175 5.175 Å, 144.94 129.41 63.04°
Atoms (fractional coordinates):
Re: 0.000 0.000 0.000
Mo: 0.497 0.497 0.000
Mo: 0.746 0.246 0.500
W: 0.250 0.750 0.500

* calculated total energy: -12.632 eV per atom
* energy of formation from the pure elements: 0.0367 eV/atom
* V: 60.8 Å³ per cell
* ΔE to the lowest computed polymorph: 0.32 kcal/mol of atoms
* magnetic moment: 0.0 μB/f.u.

A geometry-optimized Re2MoW structure, computed with GGA-PBEsol.

Cell: 4.798 4.798 4.810 Å, 99.51 99.51 33.68°
Atoms (fractional coordinates):
Re: 0.250 0.250 0.249
Re: 0.750 0.750 0.751
Mo: 0.500 0.500 0.000
W: 0.000 0.000 0.500

* calculated total energy: -12.829 eV per atom
* energy of formation from the pure elements: 0.2309 eV/atom
* V: 60.5 Å³ per cell
* ΔE to the lowest computed polymorph: 2.61 kcal/mol of atoms
* magnetic moment: 0.0 μB/f.u.

A geometry-optimized ReMo2W structure, computed with GGA-PBEsol.

Cell: 2.706 2.706 8.817 Å, 90.00 90.00 109.47°
Atoms (fractional coordinates):
Re: 0.000 0.000 0.000
Mo: 0.500 0.500 0.248
Mo: 0.500 0.500 0.752
W: 0.000 0.000 0.500

* calculated total energy: -12.609 eV per atom
* energy of formation from the pure elements: 0.0595 eV/atom
* V: 60.9 Å³ per cell
* ΔE to the lowest computed polymorph: 0.84 kcal/mol of atoms
* magnetic moment: 0.0 μB/f.u.

A geometry-optimized ReMo2W structure, computed with GGA-PBEsol.

Cell: 4.413 4.413 4.413 Å, 60.00 60.00 60.00°
Atoms (fractional coordinates):
Re: 0.000 0.000 0.000
Mo: 0.250 0.250 0.250
Mo: 0.750 0.750 0.750
W: 0.500 0.500 0.500

* calculated total energy: -12.617 eV per atom
* energy of formation from the pure elements: 0.0518 eV/atom
* V: 60.8 Å³ per cell
* ΔE to the lowest computed polymorph: 0.67 kcal/mol of atoms
* magnetic moment: 0.0 μB/f.u.